1.
A plane-wave DFT calculation with PBE-GGA was carried out for a relaxed structure of CuRhBrO2.

Computed properties:
Total moment   0.00 μB per cell
Energy   -4.80 eV per atom

Cell: 3.7173 3.7173 6.1569 Å, 90.00 90.00 90.00°
Closest atoms and distances in Å follow each position.
Positions (direct):
Cu 0.0000 0.0000 0.0000  4 Br 2.63
Rh 0.0000 0.0000 0.5000  4 O 1.86
Br 0.5000 0.5000 0.0000  4 Cu 2.63
O 0.0000 0.5000 0.5000  2 Rh 1.86
O 0.5000 0.0000 0.5000  2 Rh 1.86

***

2.
A plane-wave DFT calculation with PBE-GGA was carried out for a relaxed structure of CaLa12Pr6.

Computed properties:
Formation energy   4.10 eV per formula unit
Total moment   0.00 μB per cell
Energy   -4.51 eV per atom

Cell: 10.1897 10.1897 10.1897 Å, 112.56 112.56 112.56°
Closest atoms and distances in Å follow each position.
Positions (direct):
Ca 0.0000 0.0000 0.0000  6 Pr 3.52, 6 La 3.87
La 0.1807 0.4334 0.4334  4 La 3.29-3.57, 2 Pr 3.63
La 0.2104 0.5000 0.7896  4 La 3.12-3.29
La 0.2104 0.7896 0.5000  4 La 3.12-3.29
La 0.4334 0.1807 0.4334  4 La 3.29-3.57, 2 Pr 3.63
La 0.4334 0.4334 0.1807  4 La 3.29-3.57, 2 Pr 3.63
La 0.5000 0.2104 0.7896  4 La 3.12-3.29
La 0.5000 0.7896 0.2104  4 La 3.12-3.29
La 0.5666 0.5666 0.8193  4 La 3.29-3.57, 2 Pr 3.63
La 0.5666 0.8193 0.5666  4 La 3.29-3.57, 2 Pr 3.63
La 0.7896 0.2104 0.5000  4 La 3.12-3.29
La 0.7896 0.5000 0.2104  4 La 3.12-3.29
La 0.8193 0.5666 0.5666  4 La 3.29-3.57, 2 Pr 3.63
Pr 0.9999 0.9999 0.3457  1 Pr 3.14
Pr 0.0001 0.0001 0.6543  1 Pr 3.14
Pr 0.9999 0.3457 0.9999  1 Pr 3.14
Pr 0.0001 0.6543 0.0001  1 Pr 3.14
Pr 0.3457 0.9999 0.9999  1 Pr 3.14
Pr 0.6543 0.0001 0.0001  1 Pr 3.14

***

3.
A plane-wave DFT calculation with PBE-GGA was carried out for a relaxed structure of HoTm3Tl4S8.

Computed properties:
Total moment   0.00 μB per cell
Energy   -5.27 eV per atom

Cell: 8.8211 8.8211 8.8211 Å, 53.70 53.70 53.70°
Closest atoms and distances in Å follow each position.
Positions (direct):
Ho 0.0000 0.0000 0.0000  6 S 2.74
Tm 0.0000 0.5000 0.5000  6 S 2.73
Tm 0.5000 0.0000 0.5000  6 S 2.73
Tm 0.5000 0.5000 0.0000  6 S 2.73
Tl 0.0000 0.0000 0.5000  6 S 3.25
Tl 0.0000 0.5000 0.0000  6 S 3.25
Tl 0.5000 0.0000 0.0000  6 S 3.25
Tl 0.5000 0.5000 0.5000  6 S 3.24
S 0.2329 0.2329 0.7299  2 Tm 2.73, 1 Ho 2.74
S 0.2329 0.7299 0.2329  2 Tm 2.73, 1 Ho 2.74
S 0.2684 0.2684 0.2684  3 Tm 2.73
S 0.2701 0.7671 0.7671  2 Tm 2.73, 1 Ho 2.74
S 0.7299 0.2329 0.2329  2 Tm 2.73, 1 Ho 2.74
S 0.7316 0.7316 0.7316  3 Tm 2.73
S 0.7671 0.2701 0.7671  2 Tm 2.73, 1 Ho 2.74
S 0.7671 0.7671 0.2701  2 Tm 2.73, 1 Ho 2.74

***

4.
A plane-wave DFT calculation with PBE-GGA was carried out for a relaxed structure of LiUTiN3.

Computed properties:
Total moment   1.64 μB per cell
Energy   -8.80 eV per atom

Cell: 6.4977 3.0500 7.6879 Å, 90.00 98.72 90.00°
Closest atoms and distances in Å follow each position.
Positions (direct):
Li 0.1464 0.2500 0.0817  4 N 2.04-2.23
Li 0.8536 0.7500 0.9183  4 N 2.04-2.23
U 0.1649 0.2500 0.7088  4 N 2.17-2.40
U 0.8351 0.7500 0.2912  4 N 2.17-2.40
Ti 0.3481 0.7500 0.3871  5 N 1.97-2.14
Ti 0.6519 0.2500 0.6129  5 N 1.97-2.14
N 0.1345 0.2500 0.3704  2 Ti 2.05, 1 Li 2.23
N 0.1759 0.7500 0.9116  3 Li 2.04-2.10, 2 U 2.17
N 0.4292 0.7500 0.6444  3 Ti 1.97-2.14
N 0.5708 0.2500 0.3556  3 Ti 1.97-2.14
N 0.8241 0.2500 0.0884  3 Li 2.04-2.10, 2 U 2.17
N 0.8655 0.7500 0.6296  2 Ti 2.05, 1 Li 2.23

***

5.
A plane-wave DFT calculation with PBE-GGA was carried out for a relaxed structure of BeSi2Pb.

Computed properties:
Distance to the lowest polymorph of the same formula   473.0 meV per atom
Total moment   0.00 μB per cell
Energy   -3.73 eV per atom

Cell: 4.8516 4.8516 4.8516 Å, 125.41 125.41 80.87°
Closest atoms and distances in Å follow each position.
Positions (direct):
Be 0.0000 0.0000 0.0000  4 Pb 2.89, 8 Si 2.89-3.15
Si 0.5000 0.5000 0.0000  4 Pb 2.89, 4 Si 2.89, 4 Be 3.15
Si 0.7500 0.2500 0.5000  4 Be 2.89, 4 Si 2.89, 4 Pb 3.15
Pb 0.2500 0.7500 0.5000  4 Be 2.89, 8 Si 2.89-3.15

***

6.
A plane-wave DFT calculation with PBE-GGA was carried out for a relaxed structure of LiMg2Co.

Computed properties:
Formation energy   0.76 eV per formula unit
Total moment   1.04 μB per cell
Energy   -2.86 eV per atom

Cell: 3.0858 3.0858 6.9887 Å, 90.00 90.00 90.00°
Closest atoms and distances in Å follow each position.
Positions (direct):
Li 0.0000 0.0000 0.0000  4 Co 2.53, 1 Mg 2.82
Mg 0.0000 0.0000 0.5961  4 Co 2.67, 1 Li 2.82
Mg 0.5000 0.5000 0.2610  4 Li 2.84, 4 Mg 3.09, 1 Co 3.11
Co 0.5000 0.5000 0.8161  4 Li 2.53, 4 Mg 2.67